Record 1
Compound: Cu2SbHRu
Source: Alexandria
Functional: PBE
Structure: relaxed

crystal system = tetragonal
calculated volume = 60.2 Å³ per cell
spin magnetization = 0.0 μB per formula unit
total DFT energy (no corrections) = -4.825 eV/atom
DOS at the Fermi energy = 3.14 states/eV per cell

Lattice parameters (Å, degrees): 3.9395 3.9395 3.8765 90.00 90.00 90.00
Space group P4/mmm (No. 123)
One atom of each set of equivalent atoms:
Cu  0.0000  0.5000  0.0000 [2 per cell]
Sb  0.0000  0.0000  0.5000 [1 per cell]
H  0.5000  0.5000  0.0000 [1 per cell]
Ru  0.5000  0.5000  0.5000 [1 per cell]


Record 2
Compound: MnAuCl2
Source: Alexandria
Functional: PBE
Structure: relaxed

crystal system = monoclinic
calculated volume = 203.4 Å³ per cell
ΔE_f (raw) = -8.99 kcal/mol of atoms
spin magnetization = 4.9 μB per formula unit
energy relative to the lowest polymorph listed for this composition = 45 meV per atom
DOS at the Fermi energy = 1.99 states/eV per cell

Lattice parameters (Å, degrees): 5.8585 3.3879 10.3210 90.00 96.90 90.00
Space group C2/m (No. 12)
One atom of each set of equivalent atoms:
Mn  0.0000  0.0000  0.0000 [2 per cell]
Au  0.0000  0.5000  0.5000 [2 per cell]
Cl  0.1983  0.5000  0.1499 [4 per cell]


Record 3
Compound: La2ReTc
Source: Alexandria
Functional: PBE
Structure: relaxed

crystal system = monoclinic
calculated volume = 169.7 Å³ per cell
energy of formation from the pure elements = 611 meV per atom
spin magnetization = 0.0 μB per formula unit
energy relative to the lowest polymorph listed for this composition = 463 meV per atom
DOS at the Fermi energy = 10.54 states/eV per cell

Lattice parameters (Å, degrees): 6.2557 9.4554 3.1389 90.00 113.94 90.00
Space group C2/m (No. 12)
One atom of each set of equivalent atoms:
La  0.2500  0.2500  0.0000 [4 per cell]
Re  0.0000  0.0000  0.5000 [2 per cell]
Tc  0.0000  0.5000  0.5000 [2 per cell]


Record 4
Compound: Ce2DyErBi5
Source: Alexandria
Functional: PBE
Structure: relaxed

crystal system = tetragonal
calculated volume = 352.0 Å³ per cell
energy of formation from the pure elements = -87 meV per atom
spin magnetization = 2.0 μB per formula unit
DOS at the Fermi energy = 17.84 states/eV per cell

Lattice parameters (Å, degrees): 5.4620 5.4620 11.7983 90.00 90.00 90.00
Space group P4/mmm (No. 123)
One atom of each set of equivalent atoms:
Ce  0.0000  0.0000  0.2155 [2 per cell]
Dy  0.5000  0.5000  0.0000 [1 per cell]
Er  0.5000  0.5000  0.5000 [1 per cell]
Bi  0.0000  0.0000  0.5000 [1 per cell]
Bi  0.0000  0.5000  0.0000 [2 per cell]
Bi  0.5000  0.5000  0.2541 [2 per cell]


Record 5
Compound: CoCuNi2
Source: Alexandria
Functional: PBE
Structure: relaxed

crystal system = monoclinic
calculated volume = 88.9 Å³ per cell
energy of formation from the pure elements = 49 meV per atom
spin magnetization = 2.7 μB per formula unit
DOS at the Fermi energy = 8.98 states/eV per cell

Lattice parameters (Å, degrees): 8.3142 2.4923 4.3544 90.00 99.71 90.00
Space group Cm (No. 8)
One atom of each set of equivalent atoms:
Co  0.0000  0.0000  0.0000 [2 per cell]
Cu  0.2466  0.0000  0.7340 [2 per cell]
Ni  0.2466  0.5000  0.2311 [2 per cell]
Ni  0.4947  0.0000  0.4922 [2 per cell]


Record 6
Compound: Cu2PRu
Source: Alexandria
Functional: PBE
Structure: relaxed

crystal system = tetragonal
calculated volume = 49.9 Å³ per cell
energy of formation from the pure elements = 62 meV per atom
spin magnetization = 0.0 μB per formula unit
DOS at the Fermi energy = 2.19 states/eV per cell

Lattice parameters (Å, degrees): 3.5283 3.5283 4.0108 90.00 90.00 90.00
Space group P4/mmm (No. 123)
One atom of each set of equivalent atoms:
Cu  0.0000  0.5000  0.0000 [2 per cell]
P  0.0000  0.0000  0.5000 [1 per cell]
Ru  0.5000  0.5000  0.5000 [1 per cell]


Record 7
Compound: Nd2HoGe3Ir4
Source: Alexandria
Functional: PBE
Structure: relaxed

crystal system = tetragonal
calculated volume = 198.4 Å³ per cell
energy of formation from the pure elements = -791 meV per atom
spin magnetization = 0.0 μB per formula unit
DOS at the Fermi energy = 5.46 states/eV per cell

Lattice parameters (Å, degrees): 4.2013 4.2013 11.2409 90.00 90.00 90.00
Space group P-4m2 (No. 115)
One atom of each set of equivalent atoms:
Nd  0.0000  0.5000  0.2306 [2 per cell]
Ho  0.0000  0.0000  0.5000 [1 per cell]
Ge  0.0000  0.5000  0.8781 [2 per cell]
Ge  0.5000  0.5000  0.5000 [1 per cell]
Ir  0.0000  0.0000  0.0000 [1 per cell]
Ir  0.0000  0.5000  0.6584 [2 per cell]
Ir  0.5000  0.5000  0.0000 [1 per cell]


Record 8
Compound: Nd3ErAs4
Source: Alexandria
Functional: PBE
Structure: relaxed

crystal system = cubic
calculated volume = 213.7 Å³ per cell
energy of formation from the pure elements = -1498 meV per atom
spin magnetization = 0.0 μB per formula unit
energy relative to the lowest polymorph listed for this composition = 6 meV per atom
DOS at the Fermi energy = 0.73 states/eV per cell

Lattice parameters (Å, degrees): 5.9784 5.9784 5.9784 90.00 90.00 90.00
Space group Pm-3m (No. 221)
One atom of each set of equivalent atoms:
Nd  0.0000  0.0000  0.5000 [3 per cell]
Er  0.5000  0.5000  0.5000 [1 per cell]
As  0.0000  0.0000  0.0000 [1 per cell]
As  0.0000  0.5000  0.5000 [3 per cell]